Ca2AuBr | PBE | optimized geometry

Values from the calculation:
Total magnetic moment: 0.00 μB per atom
Energy above the most stable polymorph in this dataset: 197 meV/atom
Energy relative to the elements, uncorrected: -0.91 eV per atom
Calculated volume: 125.0 Å³/f.u.

a b c (Å): 7.864 7.864 8.084
angles (deg): 90.00 90.00 90.00
Space group I-42d (No. 122)
Asymmetric unit:
Ca (0.242, 0.250, 0.125) (multiplicity 8)
Au (0.000, 0.000, 0.000) (multiplicity 4)
Br (0.000, 0.000, 0.500) (multiplicity 4)


MnAl | PBE | optimized geometry

Values from the calculation:
Total magnetic moment: 1.26 μB per atom
Final energy: -5.456 eV per atom
Calculated volume: 54.1 Å³/f.u.

a b c (Å): 7.562 7.562 7.562
angles (deg): 90.00 90.00 90.00
Space group I-43m (No. 217)
Asymmetric unit:
Mn (0.112, 0.112, 0.888) (multiplicity 8)
Al (0.199, 0.199, 0.199) (multiplicity 8)


Ho4CdCu2Pd | PBE | optimized geometry

Values from the calculation:
Total magnetic moment: 0.00 μB per atom
Final energy: -4.500 eV per atom
Calculated volume: 177.3 Å³/f.u.

a b c (Å): 5.0034 5.0034 24.5396
angles (deg): 90.00 90.00 120.00
Space group R-3m (No. 166, hexagonal axes)
Asymmetric unit:
Ho (0.0000, 0.0000, 0.1196) (multiplicity 6)
Ho (0.0000, 0.0000, 0.3707) (multiplicity 6)
Cd (0.0000, 0.0000, 0.5000) (multiplicity 3)
Cu (0.0000, 0.0000, 0.2440) (multiplicity 6)
Pd (0.0000, 0.0000, 0.0000) (multiplicity 3)